Entry from Alexandria via LeMat-Bulk: crystalline YIn2 at its relaxed geometry (PBE-GGA).

Geometry as POSCAR:
```
YIn2
1.0
3.810 -6.599 0.000
3.810 6.599 0.000
0.000 0.000 5.099
Y In
3 6
Cartesian
3.810 2.200 0.000 Y
3.810 -2.200 0.000 Y
0.000 0.000 2.550 Y
0.874 -1.513 0.000 In
0.874 1.513 0.000 In
5.873 0.000 0.000 In
1.964 -3.401 2.550 In
1.964 3.401 2.550 In
3.692 0.000 2.550 In
```

Computed properties:
Symmetry: P-62m (189)



Entry from Alexandria via LeMat-Bulk: crystalline Y2In at its relaxed geometry (PBE-GGA).

Geometry as POSCAR:
```
Y2In
1.0
-4.459 7.031 -3.158
-2.253 -3.541 7.853
2.455 2.349 1.764
Y In
6 3
Cartesian
-1.268 1.999 -0.898 Y
-0.641 -1.007 2.233 Y
-4.804 2.497 3.360 Y
-1.523 5.511 -1.066 Y
-0.162 -1.009 5.726 Y
-1.345 2.512 2.681 Y
-2.989 -0.017 4.183 In
-3.724 3.507 0.513 In
1.228 1.175 0.882 In
```

Computed properties:
Symmetry: P-62m (189)



Entry from Alexandria via LeMat-Bulk: crystalline Y5In at its relaxed geometry (PBE-GGA).

Geometry as POSCAR:
```
Y5In
1.0
9.342 -0.012 0.000
-8.643 3.548 0.000
0.000 0.000 5.545
In Y
1 5
Cartesian
-8.617 3.542 0.000 In
-2.665 2.365 0.000 Y
3.243 1.195 0.000 Y
-0.514 1.939 2.772 Y
5.323 0.784 2.772 Y
-6.661 3.155 2.772 Y
```

Computed properties:
Energy above the lowest structure with this stoichiometry, meV/atom: 22
Symmetry: Amm2 (38)



Entry from Alexandria via LeMat-Bulk: crystalline YIn2 at its relaxed geometry (PBE-GGA).

Geometry as POSCAR:
```
YIn2
1.0
-1.519 -2.598 -4.226
-3.990 -1.986 2.655
-2.037 2.783 -0.979
In Y
2 1
Cartesian
-3.013 0.399 0.838 In
-1.778 0.092 -2.602 In
0.000 0.000 0.000 Y
```

Computed properties:
Symmetry: P4/mmm (123)



Entry from Alexandria via LeMat-Bulk: crystalline YIn2 at its relaxed geometry (PBE-GGA).

Geometry as POSCAR:
```
YIn2
1.0
5.841 -0.033 -0.005
3.999 4.258 -0.005
1.906 0.818 6.207
In Y
4 2
Cartesian
2.137 0.918 5.922 In
7.934 3.407 3.724 In
4.081 1.752 1.722 In
5.039 2.164 4.826 In
1.007 0.433 2.884 Y
7.156 3.073 0.556 Y
```

Computed properties:
Symmetry: Cm (8)



Entry from Alexandria via LeMat-Bulk: crystalline Y5In4 at its relaxed geometry (PBE-GGA).

Geometry as POSCAR:
```
Y5In4
1.0
0.773 -4.752 5.845
-1.796 7.151 -1.727
-6.379 -3.080 -2.677
Y In
5 4
Cartesian
0.000 0.000 0.000 Y
-0.071 -0.841 3.357 Y
-0.952 3.240 0.761 Y
-4.529 -1.236 -0.406 Y
-2.874 0.555 1.848 Y
-3.784 -5.286 2.139 In
-1.823 -2.546 1.030 In
-2.658 1.324 -1.432 In
-5.518 2.748 -2.972 In
```

Computed properties:
Energy above the lowest structure with this stoichiometry, meV/atom: 239
Symmetry: I4/mmm (139)



| no. | energy relative to the elements (eV/f.u.) |
| --- | --- |
| 1 | -0.40 |
| 2 | -1.08 |
| 3 | -0.86 |
| 4 | -0.52 |
| 5 | -1.23 |
| 6 | -2.09 |